(i)
Material: SiSnH2
Method: DFT, PBE
State: optimized geometry

Results
Crystal system = tetragonal
Space group = I-42d

a = 4.5763 Å, b = 4.5763 Å, c = 6.0302 Å
α = 67.70°, β = 67.70°, γ = 90.00°
Sites, in units of the cell vectors:
H 0.4239 0.1250 0.2500
H 0.3261 0.6250 0.2500
H 0.3750 0.5761 0.7500
H 0.8750 0.6739 0.7500
Si 0.5000 0.5000 0.0000
Si 0.2500 0.7500 0.5000
Sn 0.0000 0.0000 0.0000
Sn 0.7500 0.2500 0.5000

(ii)
Material: SiSnH2
Method: DFT, PBE
State: optimized geometry

Results
Crystal system = cubic
Space group = Fm-3m

a = 4.0776 Å, b = 4.0776 Å, c = 4.0776 Å
α = 60.00°, β = 60.00°, γ = 60.00°
Sites, in units of the cell vectors:
H 0.2500 0.2500 0.2500
H 0.7500 0.7500 0.7500
Si 0.0000 0.0000 0.0000
Sn 0.5000 0.5000 0.5000

Most stable structure among those shown: (i).